# 1
First-principles (GGA-PBE) data for a geometry-optimized Tm4CdInRu2 structure, as listed in Alexandria.

Cell lengths 8.657, 8.657, 8.657 Å; angles 33.36, 33.36, 33.36 degrees
Fractional coordinates of all 8 atoms:
Tm (0.124, 0.124, 0.124)
Tm (0.374, 0.374, 0.374)
Tm (0.626, 0.626, 0.626)
Tm (0.876, 0.876, 0.876)
Cd (0.000, 0.000, 0.000)
In (0.500, 0.500, 0.500)
Ru (0.250, 0.250, 0.250)
Ru (0.750, 0.750, 0.750)

Calculated values
For the density of states at the Fermi level, the calculation gives 5.5 states/eV/f.u. Its space group is R-3m, No. 166. The calculation puts the total DFT energy (no corrections) at -42.9 eV per cell. For the energy relative to the elements, the calculation gives -0.352 eV per atom. The crystal system is trigonal.

---

# 2
First-principles (GGA-PBE) data for a geometry-optimized YZnCoTe2 structure, as listed in Alexandria.

Cell lengths 5.827, 5.827, 5.526 Å; angles 90.00, 90.00, 90.00 degrees
Fractional coordinates of all 5 atoms:
Y (0.000, 0.000, 0.000)
Zn (0.000, 0.000, 0.500)
Co (0.500, 0.500, 0.500)
Te (0.000, 0.500, 0.000)
Te (0.500, 0.000, 0.000)

Calculated values
The value obtained for the uncorrected formation energy is 3.31 eV/f.u. For the density of states at the Fermi level, the calculation gives 7.1 states/eV/f.u. Its space group is P4/mmm, No. 123. The calculation puts the total DFT energy (no corrections) at -17.8 eV per cell. The crystal system is tetragonal.